1.
# HfSc2AsAu

A PBEsol-optimized structure of HfSc2AsAu (meta-GGA SCAN, the Alexandria database).

Unit cell a=4.913 b=4.913 c=4.775 alpha=90.00 beta=90.00 gamma=90.00
Sites, in units of the cell vectors:
Hf 0.000 0.000 0.000
Sc 0.000 0.500 0.500
Sc 0.500 0.000 0.500
As 0.500 0.500 0.500
Au 0.500 0.500 0.000

ΔH_f (0 K) in meV/atom: 43
Final energy in eV for the cell shown: -180.3
N(E_F) in states/eV per cell: 3.3
SG: P4/mmm (123)
Volume in Å³/f.u.: 115.3

***

2.
# HfAsAu2Se

A PBEsol-optimized structure of HfAsAu2Se (meta-GGA SCAN, the Alexandria database).

Unit cell a=5.073 b=5.073 c=5.117 alpha=90.00 beta=90.00 gamma=90.00
Sites, in units of the cell vectors:
Hf 0.000 0.000 0.000
As 0.000 0.000 0.500
Au 0.000 0.500 0.000
Au 0.500 0.000 0.000
Se 0.500 0.500 0.500

Final energy in eV for the cell shown: -237.7
N(E_F) in states/eV per cell: 4.8
SG: P4/mmm (123)
Volume in Å³/f.u.: 131.7

***

3.
# HgAsAu2

A PBEsol-optimized structure of HgAsAu2 (meta-GGA SCAN, the Alexandria database).

Unit cell a=4.724 b=4.724 c=4.724 alpha=60.00 beta=60.00 gamma=60.00
Sites, in units of the cell vectors:
Hg 0.000 0.000 0.000
As 0.250 0.250 0.250
Au 0.500 0.500 0.500
Au 0.750 0.750 0.750

ΔH_f (0 K) in meV/atom: 347
Final energy in eV for the cell shown: -225.3
N(E_F) in states/eV per cell: 3.7
SG: F-43m (216)
Volume in Å³/f.u.: 74.5

***

4.
# HgAs2Au

A PBEsol-optimized structure of HgAs2Au (meta-GGA SCAN, the Alexandria database).

Unit cell a=2.804 b=5.166 c=5.312 alpha=90.00 beta=90.00 gamma=90.00
Sites, in units of the cell vectors:
Hg 0.000 0.000 0.000
As 0.000 0.500 0.500
As 0.500 0.000 0.500
Au 0.500 0.500 0.000

ΔH_f (0 K) in meV/atom: 317
Final energy in eV for the cell shown: -176.4
N(E_F) in states/eV per cell: 1.4
SG: Pmmm (47)
Excess energy over the best structure of this formula in the dataset in eV per formula unit: 1.48
Volume in Å³/f.u.: 77.0

***

5.
# HgAs2Au

A PBEsol-optimized structure of HgAs2Au (meta-GGA SCAN, the Alexandria database).

Unit cell a=4.554 b=3.798 c=5.193 alpha=90.00 beta=106.09 gamma=90.00
Sites, in units of the cell vectors:
Hg 0.000 0.000 0.000
As 0.238 0.500 0.682
As 0.762 0.500 0.318
Au 0.500 0.000 0.500

ΔH_f (0 K) in meV/atom: -52
Final energy in eV for the cell shown: -177.9
N(E_F) in states/eV per cell: 1.2
SG: P2/m (10)
Excess energy over the best structure of this formula in the dataset in eV per formula unit: 0.00
Volume in Å³/f.u.: 86.3

***

6.
# HgAs2Au

A PBEsol-optimized structure of HgAs2Au (meta-GGA SCAN, the Alexandria database).

Unit cell a=4.209 b=4.209 c=7.322 alpha=96.92 beta=96.92 gamma=39.42
Sites, in units of the cell vectors:
Hg 0.000 0.000 0.000
As 0.554 0.554 0.518
As 0.733 0.733 0.260
Au 0.272 0.272 0.740

ΔH_f (0 K) in meV/atom: 114
Final energy in eV for the cell shown: -177.2
N(E_F) in states/eV per cell: 1.2
SG: Cm (8)
Excess energy over the best structure of this formula in the dataset in eV per formula unit: 0.66
Volume in Å³/f.u.: 81.7

***

7.
# NaHg2AsAu

A PBEsol-optimized structure of NaHg2AsAu (meta-GGA SCAN, the Alexandria database).

Unit cell a=5.152 b=5.152 c=5.166 alpha=90.00 beta=90.00 gamma=90.00
Sites, in units of the cell vectors:
Na 0.000 0.000 0.000
Hg 0.000 0.500 0.500
Hg 0.500 0.000 0.500
As 0.500 0.500 0.000
Au 0.000 0.000 0.500

ΔH_f (0 K) in meV/atom: 289
Final energy in eV for the cell shown: -228.4
N(E_F) in states/eV per cell: 2.4
SG: P4/mmm (123)
Volume in Å³/f.u.: 137.1

***

8.
# HgAs2AuSe

A PBEsol-optimized structure of HgAs2AuSe (meta-GGA SCAN, the Alexandria database).

Unit cell a=5.073 b=5.073 c=5.116 alpha=90.00 beta=90.00 gamma=90.00
Sites, in units of the cell vectors:
Hg 0.000 0.000 0.000
As 0.000 0.500 0.000
As 0.500 0.000 0.000
Au 0.500 0.500 0.500
Se 0.000 0.000 0.500

Final energy in eV for the cell shown: -191.6
N(E_F) in states/eV per cell: 4.0
SG: P4/mmm (123)
Volume in Å³/f.u.: 131.7

***

9.
# Tl2HgAsAu

A PBEsol-optimized structure of Tl2HgAsAu (meta-GGA SCAN, the Alexandria database).

Unit cell a=5.520 b=5.520 c=5.094 alpha=90.00 beta=90.00 gamma=90.00
Sites, in units of the cell vectors:
Tl 0.000 0.500 0.000
Tl 0.500 0.000 0.000
Hg 0.000 0.000 0.000
As 0.500 0.500 0.500
Au 0.000 0.000 0.500

ΔH_f (0 K) in meV/atom: 641
Final energy in eV for the cell shown: -299.0
N(E_F) in states/eV per cell: 2.6
SG: P4/mmm (123)
Volume in Å³/f.u.: 155.2

***

10.
# AsAuI2

A PBEsol-optimized structure of AsAuI2 (meta-GGA SCAN, the Alexandria database).

Unit cell a=9.209 b=9.209 c=9.209 alpha=145.38 beta=145.38 gamma=49.76
Sites, in units of the cell vectors:
As 0.000 0.000 0.000
As 0.750 0.250 0.500
Au 0.250 0.750 0.500
Au 0.500 0.500 0.000
I 0.124 0.625 0.999
I 0.375 0.374 0.499
I 0.626 0.125 0.001
I 0.875 0.876 0.501

Final energy in eV for the cell shown: -321.3
N(E_F) in states/eV per cell: 2.8
SG: I-42d (122)
Volume in Å³/f.u.: 125.4

***

11.
# As2PtAuI

A PBEsol-optimized structure of As2PtAuI (meta-GGA SCAN, the Alexandria database).

Unit cell a=4.799 b=4.799 c=5.207 alpha=90.00 beta=90.00 gamma=90.00
Sites, in units of the cell vectors:
As 0.000 0.500 0.000
As 0.500 0.000 0.000
Pt 0.000 0.000 0.000
Au 0.000 0.000 0.500
I 0.500 0.500 0.500

Final energy in eV for the cell shown: -214.1
N(E_F) in states/eV per cell: 4.5
SG: P4/mmm (123)
Volume in Å³/f.u.: 119.9

***

12.
# Sb2AsAuI

A PBEsol-optimized structure of Sb2AsAuI (meta-GGA SCAN, the Alexandria database).

Unit cell a=5.317 b=5.317 c=5.329 alpha=90.00 beta=90.00 gamma=90.00
Sites, in units of the cell vectors:
Sb 0.000 0.500 0.000
Sb 0.500 0.000 0.000
As 0.000 0.000 0.500
Au 0.500 0.500 0.000
I 0.500 0.500 0.500

Final energy in eV for the cell shown: -196.5
N(E_F) in states/eV per cell: 5.4
SG: P4/mmm (123)
Volume in Å³/f.u.: 150.6

***

13.
# InAs2Au

A PBEsol-optimized structure of InAs2Au (meta-GGA SCAN, the Alexandria database).

Unit cell a=4.960 b=4.960 c=4.960 alpha=125.56 beta=125.56 gamma=80.61
Sites, in units of the cell vectors:
In 0.000 0.000 0.000
As 0.250 0.750 0.500
As 0.500 0.500 0.000
Au 0.750 0.250 0.500

ΔH_f (0 K) in meV/atom: 274
Final energy in eV for the cell shown: -141.8
N(E_F) in states/eV per cell: 2.0
SG: I-4m2 (119)
Volume in Å³/f.u.: 77.9

***

14.
# InAs2Au

A PBEsol-optimized structure of InAs2Au (meta-GGA SCAN, the Alexandria database).

Unit cell a=5.215 b=5.215 c=2.878 alpha=90.00 beta=90.00 gamma=90.00
Sites, in units of the cell vectors:
In 0.000 0.000 0.000
As 0.000 0.500 0.500
As 0.500 0.000 0.500
Au 0.500 0.500 0.000

ΔH_f (0 K) in meV/atom: 279
Final energy in eV for the cell shown: -141.8
N(E_F) in states/eV per cell: 1.8
SG: P4/mmm (123)
Volume in Å³/f.u.: 78.3

***

15.
# InAs2Au

A PBEsol-optimized structure of InAs2Au (meta-GGA SCAN, the Alexandria database).

Unit cell a=4.550 b=3.952 c=5.001 alpha=90.00 beta=106.57 gamma=90.00
Sites, in units of the cell vectors:
In 0.000 0.000 0.000
As 0.246 0.500 0.684
As 0.754 0.500 0.316
Au 0.500 0.000 0.500

ΔH_f (0 K) in meV/atom: -123
Final energy in eV for the cell shown: -143.4
N(E_F) in states/eV per cell: 1.4
SG: P2/m (10)
Volume in Å³/f.u.: 86.2

***

16.
# In3AsAu

A PBEsol-optimized structure of In3AsAu (meta-GGA SCAN, the Alexandria database).

Unit cell a=5.175 b=5.175 c=5.175 alpha=90.00 beta=90.00 gamma=90.00
Sites, in units of the cell vectors:
In 0.000 0.000 0.500
In 0.000 0.500 0.000
In 0.500 0.000 0.000
As 0.500 0.500 0.500
Au 0.000 0.000 0.000

ΔH_f (0 K) in meV/atom: 217
Final energy in eV for the cell shown: -188.4
N(E_F) in states/eV per cell: 4.3
SG: Pm-3m (221)
Volume in Å³/f.u.: 138.6

***

17.
# InAsAu3

A PBEsol-optimized structure of InAsAu3 (meta-GGA SCAN, the Alexandria database).

Unit cell a=5.013 b=5.013 c=5.013 alpha=90.00 beta=90.00 gamma=90.00
Sites, in units of the cell vectors:
In 0.000 0.000 0.000
As 0.500 0.500 0.500
Au 0.000 0.000 0.500
Au 0.000 0.500 0.000
Au 0.500 0.000 0.000

ΔH_f (0 K) in meV/atom: 925
Final energy in eV for the cell shown: -256.4
N(E_F) in states/eV per cell: 2.7
SG: Pm-3m (221)
Volume in Å³/f.u.: 126.0

***

18.
# InAsAu4

A PBEsol-optimized structure of InAsAu4 (meta-GGA SCAN, the Alexandria database).

Unit cell a=5.456 b=5.456 c=5.456 alpha=60.00 beta=60.00 gamma=60.00
Sites, in units of the cell vectors:
In 0.000 0.000 0.000
As 0.250 0.250 0.250
Au 0.125 0.625 0.625
Au 0.625 0.125 0.625
Au 0.625 0.625 0.125
Au 0.625 0.625 0.625

ΔH_f (0 K) in meV/atom: 115
Final energy in eV for the cell shown: -329.5
N(E_F) in states/eV per cell: 1.6
SG: F-43m (216)
Volume in Å³/f.u.: 114.8

***

19.
# InAs2AuSe

A PBEsol-optimized structure of InAs2AuSe (meta-GGA SCAN, the Alexandria database).

Unit cell a=4.979 b=4.979 c=5.129 alpha=90.00 beta=90.00 gamma=90.00
Sites, in units of the cell vectors:
In 0.000 0.000 0.000
As 0.000 0.500 0.500
As 0.500 0.000 0.500
Au 0.500 0.500 0.500
Se 0.500 0.500 0.000

Final energy in eV for the cell shown: -160.1
N(E_F) in states/eV per cell: 4.4
SG: P4/mmm (123)
Volume in Å³/f.u.: 127.1

***

20.
# AsIrAu3

A PBEsol-optimized structure of AsIrAu3 (meta-GGA SCAN, the Alexandria database).

Unit cell a=4.903 b=4.903 c=4.903 alpha=90.00 beta=90.00 gamma=90.00
Sites, in units of the cell vectors:
As 0.000 0.000 0.000
Ir 0.500 0.500 0.500
Au 0.000 0.500 0.500
Au 0.500 0.000 0.500
Au 0.500 0.500 0.000

ΔH_f (0 K) in meV/atom: 1308
Final energy in eV for the cell shown: -292.2
N(E_F) in states/eV per cell: 4.9
SG: Pm-3m (221)
Volume in Å³/f.u.: 117.9

***

21.
# Ta2AsIrAu

A PBEsol-optimized structure of Ta2AsIrAu (meta-GGA SCAN, the Alexandria database).

Unit cell a=4.824 b=4.824 c=4.848 alpha=90.00 beta=90.00 gamma=90.00
Sites, in units of the cell vectors:
Ta 0.000 0.500 0.000
Ta 0.500 0.000 0.000
As 0.000 0.000 0.500
Ir 0.500 0.500 0.500
Au 0.500 0.500 0.000

ΔH_f (0 K) in meV/atom: 1850
Final energy in eV for the cell shown: -284.4
N(E_F) in states/eV per cell: 5.2
SG: P4/mmm (123)
Volume in Å³/f.u.: 112.8

***

22.
# KAsAu

A PBEsol-optimized structure of KAsAu (meta-GGA SCAN, the Alexandria database).

Unit cell a=4.286 b=4.286 c=5.072 alpha=90.00 beta=90.00 gamma=120.00
Sites, in units of the cell vectors:
K 0.000 0.000 0.000
As 0.333 0.667 0.500
Au 0.667 0.333 0.500

ΔH_f (0 K) in meV/atom: -522
Final energy in eV for the cell shown: -99.2
N(E_F) in states/eV per cell: 2.3
SG: P-6m2 (187)
Volume in Å³/f.u.: 80.7

***

23.
# KAsAu2

A PBEsol-optimized structure of KAsAu2 (meta-GGA SCAN, the Alexandria database).

Unit cell a=4.346 b=7.073 c=7.073 alpha=23.76 beta=90.00 gamma=90.00
Sites, in units of the cell vectors:
K 0.000 0.000 0.000
As 0.500 0.349 0.349
Au 0.000 0.251 0.251
Au 0.500 0.664 0.664

ΔH_f (0 K) in meV/atom: -141
Final energy in eV for the cell shown: -167.4
N(E_F) in states/eV per cell: 1.0
SG: Amm2 (38)
Volume in Å³/f.u.: 87.6

***

24.
# KAs4Au

A PBEsol-optimized structure of KAs4Au (meta-GGA SCAN, the Alexandria database).

Unit cell a=5.933 b=5.933 c=5.933 alpha=60.00 beta=60.00 gamma=60.00
Sites, in units of the cell vectors:
K 0.000 0.000 0.000
As 0.187 0.604 0.604
As 0.604 0.187 0.604
As 0.604 0.604 0.187
As 0.604 0.604 0.604
Au 0.250 0.250 0.250

ΔH_f (0 K) in meV/atom: 37
Final energy in eV for the cell shown: -158.0
SG: F-43m (216)
Volume in Å³/f.u.: 147.6

***

25.
# KAsAu2

A PBEsol-optimized structure of KAsAu2 (meta-GGA SCAN, the Alexandria database).

Unit cell a=4.844 b=4.844 c=4.844 alpha=60.00 beta=60.00 gamma=60.00
Sites, in units of the cell vectors:
K 0.000 0.000 0.000
As 0.250 0.250 0.250
Au 0.500 0.500 0.500
Au 0.750 0.750 0.750

ΔH_f (0 K) in meV/atom: 193
Final energy in eV for the cell shown: -166.1
N(E_F) in states/eV per cell: 2.0
SG: F-43m (216)
Volume in Å³/f.u.: 80.3

***

26.
# KAsAu

A PBEsol-optimized structure of KAsAu (meta-GGA SCAN, the Alexandria database).

Unit cell a=4.752 b=4.752 c=4.752 alpha=60.00 beta=60.00 gamma=60.00
Sites, in units of the cell vectors:
K 0.000 0.000 0.000
As 0.500 0.500 0.500
Au 0.250 0.250 0.250

ΔH_f (0 K) in meV/atom: 68
Final energy in eV for the cell shown: -97.5
N(E_F) in states/eV per cell: 2.9
SG: F-43m (216)
Volume in Å³/f.u.: 75.9

***

27.
# K5As2Au

A PBEsol-optimized structure of K5As2Au (meta-GGA SCAN, the Alexandria database).

Unit cell a=5.680 b=5.680 c=19.108 alpha=90.00 beta=90.00 gamma=120.00
Sites, in units of the cell vectors:
K 0.000 0.000 0.146
K 0.000 0.000 0.354
K 0.000 0.000 0.646
K 0.000 0.000 0.854
K 0.333 0.667 0.049
K 0.333 0.667 0.250
K 0.333 0.667 0.451
K 0.667 0.333 0.549
K 0.667 0.333 0.750
K 0.667 0.333 0.951
As 0.333 0.667 0.621
As 0.333 0.667 0.879
As 0.667 0.333 0.121
As 0.667 0.333 0.379
Au 0.333 0.667 0.750
Au 0.667 0.333 0.250

ΔH_f (0 K) in meV/atom: -581
Final energy in eV for the cell shown: -311.7
SG: P6_3/mmc (194)
Volume in Å³/f.u.: 266.9

***

28.
# KAsAu2

A PBEsol-optimized structure of KAsAu2 (meta-GGA SCAN, the Alexandria database).

Unit cell a=8.859 b=8.859 c=8.859 alpha=143.18 beta=143.18 gamma=53.05
Sites, in units of the cell vectors:
K 0.000 0.000 0.000
K 0.750 0.250 0.500
As 0.250 0.750 0.500
As 0.500 0.500 0.000
Au 0.346 0.625 0.221
Au 0.375 0.596 0.721
Au 0.404 0.125 0.779
Au 0.875 0.654 0.279

ΔH_f (0 K) in meV/atom: -414
Final energy in eV for the cell shown: -337.0
N(E_F) in states/eV per cell: 0.2
SG: I-42d (122)
Volume in Å³/f.u.: 124.1

***

29.
# La2AsAu

A PBEsol-optimized structure of La2AsAu (meta-GGA SCAN, the Alexandria database).

Unit cell a=4.482 b=5.989 c=5.989 alpha=40.80 beta=90.00 gamma=90.00
Sites, in units of the cell vectors:
La 0.000 0.000 0.000
La 0.500 0.272 0.272
As 0.000 0.727 0.727
Au 0.500 0.550 0.550

ΔH_f (0 K) in meV/atom: -1251
Final energy in eV for the cell shown: -180.6
N(E_F) in states/eV per cell: 3.1
SG: Amm2 (38)
Volume in Å³/f.u.: 105.0